Record 1
The following is a DFT calculation (PBE) of AlInBi after structural relaxation.

* E above lowest polymorph: 0.00 eV/f.u.
* E_tot: -3.343 eV/atom
* formation enthalpy at 0 K: 0.1109 eV per atom
* space group: P2_1/m (11)

Cell lengths 5.9725, 3.3434, 8.2899 Å; angles 90.00, 104.99, 90.00 degrees
With the nearest neighbours (Å) after each atom.
Sites, in units of the cell vectors:
Al  0.1881  0.2500  0.4958  2 Al 2.82, 3 Bi 2.97-3.08, 1 In 3.12
Al  0.8119  0.7500  0.5042  2 Al 2.82, 3 Bi 2.97-3.08, 1 In 3.12
In  0.0789  0.2500  0.8441  3 Al 3.12-3.31, 4 In 3.34-3.41, 2 Bi 3.45
In  0.9211  0.7500  0.1559  3 Al 3.12-3.31, 4 In 3.34-3.41, 2 Bi 3.45
Bi  0.4617  0.2500  0.2430  3 Al 2.97-3.08
Bi  0.5383  0.7500  0.7570  3 Al 2.97-3.08

Record 2
The following is a DFT calculation (PBE) of HgTe3 after structural relaxation.

* E_tot: -2.295 eV/atom
* uncorrected formation energy: 0.14 eV/atom
* space group: P6_3/mmc (194)

Cell lengths 8.2818, 8.2818, 4.1507 Å; angles 90.00, 90.00, 120.00 degrees
With the nearest neighbours (Å) after each atom.
Sites, in units of the cell vectors:
Hg  0.3333  0.6667  0.2500  6 Te 3.17
Hg  0.6667  0.3333  0.7500  6 Te 3.17
Te  0.1659  0.3317  0.7500  4 Te 3.16, 2 Hg 3.17
Te  0.1659  0.8341  0.7500  4 Te 3.16, 2 Hg 3.17
Te  0.3317  0.1659  0.2500  4 Te 3.16, 2 Hg 3.17
Te  0.6683  0.8341  0.7500  4 Te 3.16, 2 Hg 3.17
Te  0.8341  0.1659  0.2500  4 Te 3.16, 2 Hg 3.17
Te  0.8341  0.6683  0.2500  4 Te 3.16, 2 Hg 3.17

Record 3
The following is a DFT calculation (PBE) of Ga2Ni2I after structural relaxation.

* E above lowest polymorph: 0.55 eV/f.u.
* E_tot: -3.529 eV/atom
* uncorrected formation energy: 0.30 eV/atom
* space group: P4/mbm (127)

Cell lengths 7.9022, 7.9022, 2.7839 Å; angles 90.00, 90.00, 90.00 degrees
With the nearest neighbours (Å) after each atom.
Sites, in units of the cell vectors:
Ga  0.1589  0.3411  0.0000  6 Ni 2.60-2.87, 2 Ga 2.78
Ga  0.3411  0.8411  0.0000  6 Ni 2.60-2.87, 2 Ga 2.78
Ga  0.6589  0.1589  0.0000  6 Ni 2.60-2.87, 2 Ga 2.78
Ga  0.8411  0.6589  0.0000  6 Ni 2.60-2.87, 2 Ga 2.78
Ni  0.1160  0.6160  0.5000  3 Ni 2.59-2.78, 6 Ga 2.60-2.87
Ni  0.3840  0.1160  0.5000  3 Ni 2.59-2.78, 6 Ga 2.60-2.87
Ni  0.6160  0.8840  0.5000  3 Ni 2.59-2.78, 6 Ga 2.60-2.87
Ni  0.8840  0.3840  0.5000  3 Ni 2.59-2.78, 6 Ga 2.60-2.87
I  0.0000  0.0000  0.0000  2 I 2.78, 4 Ga 2.97
I  0.5000  0.5000  0.0000  2 I 2.78, 4 Ga 2.97

Record 4
The following is a DFT calculation (PBE) of Fe2AgIr2 after structural relaxation.

* E_tot: -7.300 eV/atom
* formation enthalpy at 0 K: 0.1996 eV per atom
* space group: P4/mbm (127)

Cell lengths 7.4115, 7.4115, 2.6909 Å; angles 90.00, 90.00, 90.00 degrees
With the nearest neighbours (Å) after each atom.
Sites, in units of the cell vectors:
Fe  0.1538  0.3462  0.0000  6 Ir 2.54-2.57, 2 Fe 2.69, 2 Ag 2.81
Fe  0.3462  0.8462  0.0000  6 Ir 2.54-2.57, 2 Fe 2.69, 2 Ag 2.81
Fe  0.6538  0.1538  0.0000  6 Ir 2.54-2.57, 2 Fe 2.69, 2 Ag 2.81
Fe  0.8462  0.6538  0.0000  6 Ir 2.54-2.57, 2 Fe 2.69, 2 Ag 2.81
Ag  0.0000  0.0000  0.0000  2 Ag 2.69, 4 Fe 2.81
Ag  0.5000  0.5000  0.0000  2 Ag 2.69, 4 Fe 2.81
Ir  0.1406  0.6406  0.5000  6 Fe 2.54-2.57, 2 Ir 2.69
Ir  0.3594  0.1406  0.5000  6 Fe 2.54-2.57, 2 Ir 2.69
Ir  0.6406  0.8594  0.5000  6 Fe 2.54-2.57, 2 Ir 2.69
Ir  0.8594  0.3594  0.5000  6 Fe 2.54-2.57, 2 Ir 2.69

Record 5
The following is a DFT calculation (PBE) of La4SnSbO after structural relaxation.

* E_tot: -6.126 eV/atom
* uncorrected formation energy: -1.44 eV/atom
* space group: Cmcm (63)

Cell lengths 9.7611, 9.7611, 6.6975 Å; angles 90.00, 90.00, 139.58 degrees
With the nearest neighbours (Å) after each atom.
Sites, in units of the cell vectors:
La  0.0000  0.5000  0.0000  2 O 2.51
La  0.0000  0.5000  0.5000  2 O 2.51
La  0.0674  0.9326  0.7500  3 Sn 3.30-3.45, 2 Sb 3.47
La  0.4221  0.5779  0.7500  1 O 2.35
La  0.5000  0.0000  0.0000  2 O 2.51
La  0.5000  0.0000  0.5000  2 O 2.51
La  0.5779  0.4221  0.2500  1 O 2.35
La  0.9326  0.0674  0.2500  3 Sn 3.30-3.45, 2 Sb 3.47
Sn  0.1128  0.8872  0.2500  9 La 3.30-3.46
Sn  0.8872  0.1128  0.7500  9 La 3.30-3.46
Sb  0.3877  0.6123  0.2500  9 La 3.41-3.49, 2 O 3.77
Sb  0.6123  0.3877  0.7500  9 La 3.41-3.49, 2 O 3.77
O  0.2937  0.7063  0.7500  5 La 2.35-2.51
O  0.7063  0.2937  0.2500  5 La 2.35-2.51

Record 6
The following is a DFT calculation (PBE) of NdPuZnSi after structural relaxation.

* E_tot: -6.725 eV/atom
* uncorrected formation energy: -0.28 eV/atom
* space group: F-43m (216)

Cell lengths 5.0837, 5.0837, 5.0837 Å; angles 60.00, 60.00, 60.00 degrees
With the nearest neighbours (Å) after each atom.
Sites, in units of the cell vectors:
Nd  0.0000  0.0000  0.0000  4 Zn 3.11, 4 Si 3.11
Pu  0.5000  0.5000  0.5000  4 Si 3.11, 4 Zn 3.11
Zn  0.7500  0.7500  0.7500  4 Nd 3.11, 4 Pu 3.11
Si  0.2500  0.2500  0.2500  4 Nd 3.11, 4 Pu 3.11

Please write out number 2 again, unchanged.
The following is a DFT calculation (PBE) of HgTe3 after structural relaxation.

* E_tot: -2.295 eV/atom
* uncorrected formation energy: 0.14 eV/atom
* space group: P6_3/mmc (194)

Cell lengths 8.2818, 8.2818, 4.1507 Å; angles 90.00, 90.00, 120.00 degrees
With the nearest neighbours (Å) after each atom.
Sites, in units of the cell vectors:
Hg  0.3333  0.6667  0.2500  6 Te 3.17
Hg  0.6667  0.3333  0.7500  6 Te 3.17
Te  0.1659  0.3317  0.7500  4 Te 3.16, 2 Hg 3.17
Te  0.1659  0.8341  0.7500  4 Te 3.16, 2 Hg 3.17
Te  0.3317  0.1659  0.2500  4 Te 3.16, 2 Hg 3.17
Te  0.6683  0.8341  0.7500  4 Te 3.16, 2 Hg 3.17
Te  0.8341  0.1659  0.2500  4 Te 3.16, 2 Hg 3.17
Te  0.8341  0.6683  0.2500  4 Te 3.16, 2 Hg 3.17

Please write out number 6 again, unchanged.
The following is a DFT calculation (PBE) of NdPuZnSi after structural relaxation.

* E_tot: -6.725 eV/atom
* uncorrected formation energy: -0.28 eV/atom
* space group: F-43m (216)

Cell lengths 5.0837, 5.0837, 5.0837 Å; angles 60.00, 60.00, 60.00 degrees
With the nearest neighbours (Å) after each atom.
Sites, in units of the cell vectors:
Nd  0.0000  0.0000  0.0000  4 Zn 3.11, 4 Si 3.11
Pu  0.5000  0.5000  0.5000  4 Si 3.11, 4 Zn 3.11
Zn  0.7500  0.7500  0.7500  4 Nd 3.11, 4 Pu 3.11
Si  0.2500  0.2500  0.2500  4 Nd 3.11, 4 Pu 3.11

- Which of these has the highest E_tot?
  HgTe3

- The highest E_tot belongs to which entry?
  HgTe3